# 1
First-principles (PBE-GGA) data for Ac5Hg2Sb after structural relaxation, as listed in Alexandria via LeMat-Bulk.

a = 9.133 Å, b = 9.133 Å, c = 9.548 Å
α = 118.57°, β = 118.57°, γ = 90.00°
Positions (direct):
Ac: 0.509 0.697 0.705
Ac: 0.803 0.991 0.295
Ac: 0.000 0.000 0.000
Ac: 0.500 0.500 0.000
Ac: 0.197 0.009 0.705
Ac: 0.697 0.197 0.705
Ac: 0.009 0.509 0.705
Ac: 0.303 0.803 0.295
Ac: 0.991 0.491 0.295
Ac: 0.491 0.303 0.295
Hg: 0.138 0.362 0.000
Hg: 0.638 0.138 0.000
Hg: 0.362 0.862 0.000
Hg: 0.862 0.638 0.000
Sb: 0.750 0.750 0.500
Sb: 0.250 0.250 0.500

E in eV/atom: -3.66
Calculated volume in Å³/cell: 586.55
Formation energy without anion corrections in eV per atom: -0.505
M_tot in μB/atom: 0.000

# 2
First-principles (PBE-GGA) data for PmCoH5 after structural relaxation, as listed in Alexandria via LeMat-Bulk.

a = 3.715 Å, b = 4.437 Å, c = 4.437 Å
α = 63.59°, β = 65.25°, γ = 65.25°
Positions (direct):
Pm: 0.500 0.500 0.500
Co: 0.000 0.000 0.000
H: 0.162 0.597 0.079
H: 0.162 0.079 0.597
H: 0.500 0.000 0.000
H: 0.838 0.921 0.403
H: 0.838 0.403 0.921

E in eV/atom: -4.49
Calculated volume in Å³/cell: 57.00
M_tot in μB/atom: 0.000

# 3
First-principles (PBE-GGA) data for Ti6TcNi after structural relaxation, as listed in Alexandria via LeMat-Bulk.

a = 5.627 Å, b = 5.627 Å, c = 5.620 Å
α = 103.78°, β = 103.78°, γ = 120.92°
Positions (direct):
Ti: 0.259 0.259 0.739
Ti: 0.481 0.058 0.249
Ti: 0.741 0.741 0.261
Ti: 0.942 0.519 0.751
Ti: 0.519 0.942 0.751
Ti: 0.058 0.481 0.249
Tc: 0.000 0.000 0.000
Ni: 0.500 0.500 0.500

E in eV/atom: -7.83
Calculated volume in Å³/cell: 133.65
ΔE_f in eV per atom: 0.110
M_tot in μB/atom: 0.000